(1)
A plane-wave DFT calculation with PBE-GGA was carried out for a relaxed W crystal.

The structure in POSCAR format:
```
W
1.0
7.869 0.000 0.000
0.000 7.869 0.000
0.000 0.000 4.510
W
16
Cartesian
3.692 6.468 0.000 W
7.626 5.336 2.255 W
0.243 2.533 2.255 W
4.178 1.402 0.000 W
5.336 0.243 2.255 W
1.402 3.692 0.000 W
6.468 4.178 0.000 W
2.533 7.626 2.255 W
1.563 1.011 0.000 W
5.497 2.923 2.255 W
2.372 4.946 2.255 W
6.307 6.858 0.000 W
2.923 2.372 2.255 W
6.858 1.563 0.000 W
1.011 6.307 0.000 W
4.946 5.497 2.255 W
```

Calculated values
ΔE_f   0.54 eV per formula unit
Total magnetic moment   0.00 μB/cell
Energy above the lowest structure with this stoichiometry   0.545 eV/atom

(2)
A plane-wave DFT calculation with PBE-GGA was carried out for a relaxed W crystal.

The structure in POSCAR format:
```
W
1.0
-0.298 3.300 -1.989
-2.249 -2.884 1.250
0.674 1.597 3.455
W
2
Cartesian
-1.500 -0.913 3.436 W
-0.373 2.927 -0.721 W
```

Calculated values
ΔE_f   1.10 eV per formula unit
Total magnetic moment   0.00 μB/cell
Energy above the lowest structure with this stoichiometry   1.100 eV/atom

(3)
A plane-wave DFT calculation with PBE-GGA was carried out for a relaxed W crystal.

The structure in POSCAR format:
```
W
1.0
-2.060 -0.114 1.852
0.775 -2.291 -1.354
6.755 -2.081 7.386
W
4
Cartesian
0.629 -1.812 0.588 W
3.062 -2.126 5.350 W
4.842 -2.675 7.296 W
2.409 -2.360 2.534 W
```

Calculated values
ΔE_f   0.91 eV per formula unit
Total magnetic moment   0.00 μB/cell
Energy above the lowest structure with this stoichiometry   0.906 eV/atom

(4)
A plane-wave DFT calculation with PBE-GGA was carried out for a relaxed W crystal.

The structure in POSCAR format:
```
W
1.0
5.086 0.000 0.000
0.000 2.798 0.000
0.000 0.000 13.954
W
12
Cartesian
1.272 0.700 2.295 W
1.272 2.099 4.682 W
3.815 0.700 4.682 W
3.815 2.099 2.295 W
3.815 2.099 11.659 W
3.815 0.700 9.272 W
1.272 2.099 9.272 W
1.272 0.700 11.659 W
0.000 0.000 0.000 W
0.000 0.000 6.977 W
2.543 1.399 0.000 W
2.543 1.399 6.977 W
```

Calculated values
ΔE_f   0.41 eV per formula unit
Total magnetic moment   0.00 μB/cell
Energy above the lowest structure with this stoichiometry   0.408 eV/atom

(5)
A plane-wave DFT calculation with PBE-GGA was carried out for a relaxed W crystal.

The structure in POSCAR format:
```
W
1.0
-0.745 1.954 1.557
1.339 -5.532 7.585
14.262 2.961 3.105
W
20
Cartesian
14.420 0.309 8.694 W
0.436 -0.925 3.553 W
14.121 -1.431 10.735 W
0.735 0.814 1.513 W
12.434 2.332 5.204 W
2.423 -2.949 7.043 W
12.126 0.597 7.235 W
2.731 -1.213 5.012 W
11.855 -1.125 9.266 W
3.001 0.508 2.981 W
10.233 2.653 3.748 W
4.623 -3.270 8.500 W
9.863 0.889 5.785 W
4.993 -1.506 6.462 W
9.565 -0.820 7.788 W
5.291 0.203 4.459 W
9.337 -2.544 9.843 W
5.520 1.928 2.404 W
7.714 1.252 4.302 W
7.142 -1.869 7.946 W
```

Calculated values
ΔE_f   1.18 eV per formula unit
Total magnetic moment   0.00 μB/cell
Energy above the lowest structure with this stoichiometry   1.181 eV/atom

(6)
A plane-wave DFT calculation with PBE-GGA was carried out for a relaxed W crystal.

The structure in POSCAR format:
```
W
1.0
4.596 0.004 0.002
3.616 2.837 0.002
3.616 1.251 2.547
W
2
Cartesian
8.872 3.069 1.914 W
2.957 1.023 0.638 W
```

Calculated values
ΔE_f   0.39 eV per formula unit
Total magnetic moment   0.00 μB/cell
Energy above the lowest structure with this stoichiometry   0.393 eV/atom

(7)
A plane-wave DFT calculation with PBE-GGA was carried out for a relaxed W crystal.

The structure in POSCAR format:
```
W
1.0
-0.959 0.748 -2.499
1.232 -2.468 0.333
-4.368 -2.037 1.067
W
2
Cartesian
-3.504 -1.852 -0.754 W
-0.590 -1.905 -0.344 W
```

Calculated values
ΔE_f   0.49 eV per formula unit
Total magnetic moment   0.00 μB/cell
Energy above the lowest structure with this stoichiometry   0.491 eV/atom

(8)
A plane-wave DFT calculation with PBE-GGA was carried out for a relaxed Y3W crystal.

The structure in POSCAR format:
```
Y3W
1.0
-3.426 0.279 -0.360
1.328 -2.439 2.056
-0.313 6.717 8.170
W Y
1 3
Cartesian
0.000 0.000 0.000 W
-0.156 3.359 4.085 Y
-0.323 -0.104 2.990 Y
-0.503 3.754 7.682 Y
```

Calculated values
ΔE_f   2.17 eV per formula unit
Total magnetic moment   2.03 μB/cell
Energy above the lowest structure with this stoichiometry   0.125 eV/atom

(9)
A plane-wave DFT calculation with PBE-GGA was carried out for a relaxed Y5W3 crystal.

The structure in POSCAR format:
```
Y5W3
1.0
-5.753 3.765 1.683
-1.678 -5.131 4.579
2.032 1.847 2.814
Y W
5 3
Cartesian
0.000 0.000 0.000 Y
-0.839 -2.565 2.289 Y
-2.877 1.883 0.842 Y
-3.653 2.322 3.861 Y
-1.746 -1.841 5.215 Y
-3.716 -0.683 3.131 W
-1.308 0.496 3.365 W
-4.092 -0.015 5.711 W
```

Calculated values
ΔE_f   3.94 eV per formula unit
Total magnetic moment   0.00 μB/cell

(10)
A plane-wave DFT calculation with PBE-GGA was carried out for a relaxed Y4W3 crystal.

The structure in POSCAR format:
```
Y4W3
1.0
13.899 2.816 6.871
11.338 6.069 9.106
-13.134 -6.004 -6.307
Y W
4 3
Cartesian
21.092 7.426 13.354 Y
14.153 4.983 8.961 Y
11.083 3.902 7.017 Y
4.145 1.459 2.624 Y
0.000 0.000 0.000 W
18.398 6.478 11.648 W
6.839 2.408 4.330 W
```

Calculated values
ΔE_f   2.45 eV per formula unit
Total magnetic moment   0.00 μB/cell
Energy above the lowest structure with this stoichiometry   0.000 eV/atom

(11)
A plane-wave DFT calculation with PBE-GGA was carried out for a relaxed Y3W crystal.

The structure in POSCAR format:
```
Y3W
1.0
-0.571 5.679 0.790
-5.159 -2.505 -0.554
-0.124 -0.465 3.257
W Y
1 3
Cartesian
0.000 0.000 0.000 W
-2.641 -1.485 1.351 Y
-0.347 2.607 2.023 Y
-2.865 1.587 0.118 Y
```

Calculated values
ΔE_f   2.23 eV per formula unit
Total magnetic moment   0.00 μB/cell
Energy above the lowest structure with this stoichiometry   0.138 eV/atom

(12)
A plane-wave DFT calculation with PBE-GGA was carried out for a relaxed Y3W5 crystal.

The structure in POSCAR format:
```
Y3W5
1.0
3.524 -4.745 0.000
3.524 4.745 0.000
0.000 0.000 4.834
Y W
3 5
Cartesian
3.524 0.000 0.000 Y
3.524 -2.173 2.417 Y
3.524 2.173 2.417 Y
0.000 0.000 0.000 W
1.762 -2.373 0.000 W
1.762 2.373 0.000 W
5.751 0.000 2.417 W
1.297 0.000 2.417 W
```

Calculated values
ΔE_f   5.58 eV per formula unit
Total magnetic moment   0.00 μB/cell

(13)
A plane-wave DFT calculation with PBE-GGA was carried out for a relaxed Y4W5 crystal.

The structure in POSCAR format:
```
Y4W5
1.0
-5.283 5.283 1.695
5.283 -5.283 1.695
5.283 5.283 -1.695
Y W
4 5
Cartesian
3.290 0.000 0.000 Y
7.276 0.000 0.000 Y
0.000 7.276 0.000 Y
0.000 3.290 0.000 Y
0.000 0.000 0.000 W
-1.891 1.891 1.695 W
1.891 1.891 1.695 W
3.392 3.392 0.000 W
1.891 -1.891 1.695 W
```

Calculated values
ΔE_f   5.99 eV per formula unit
Total magnetic moment   0.00 μB/cell

(14)
A plane-wave DFT calculation with PBE-GGA was carried out for a relaxed YW2 crystal.

The structure in POSCAR format:
```
YW2
1.0
-3.511 6.424 1.420
1.004 -7.348 0.786
2.992 0.809 3.738
Y W
2 4
Cartesian
-2.414 5.559 2.306 Y
2.898 -5.674 3.639 Y
0.634 -3.737 1.878 W
1.532 -1.509 3.831 W
-1.048 1.394 2.114 W
-0.150 3.622 4.067 W
```

Calculated values
ΔE_f   1.21 eV per formula unit
Total magnetic moment   0.00 μB/cell

(15)
A plane-wave DFT calculation with PBE-GGA was carried out for a relaxed Y3W2 crystal.

The structure in POSCAR format:
```
Y3W2
1.0
11.466 0.250 -0.581
10.636 2.920 3.197
-10.940 -3.491 0.063
Y W
3 2
Cartesian
19.227 2.758 2.276 Y
11.051 1.585 1.308 Y
2.875 0.412 0.340 Y
15.937 2.286 1.887 W
6.165 0.884 0.730 W
```

Calculated values
ΔE_f   1.17 eV per formula unit
Total magnetic moment   0.00 μB/cell
Energy above the lowest structure with this stoichiometry   0.000 eV/atom

(16)
A plane-wave DFT calculation with PBE-GGA was carried out for a relaxed Y3W2 crystal.

The structure in POSCAR format:
```
Y3W2
1.0
2.569 3.937 -0.013
-2.569 3.937 -0.013
0.000 2.176 5.857
Y W
3 2
Cartesian
0.000 1.115 1.434 Y
0.000 3.937 -0.013 Y
0.000 8.936 4.397 Y
0.000 3.797 3.202 W
0.000 6.253 2.629 W
```

Calculated values
ΔE_f   2.58 eV per formula unit
Total magnetic moment   0.00 μB/cell
Energy above the lowest structure with this stoichiometry   0.283 eV/atom

(17)
A plane-wave DFT calculation with PBE-GGA was carried out for a relaxed Y3W2 crystal.

The structure in POSCAR format:
```
Y3W2
1.0
-3.213 7.504 9.674
-0.866 10.290 7.320
0.251 -8.290 -9.562
Y W
3 2
Cartesian
-2.040 8.897 8.497 Y
-2.790 12.170 11.624 Y
-1.289 5.624 5.371 Y
-3.692 16.104 15.381 W
-0.387 1.689 1.614 W
```

Calculated values
ΔE_f   3.16 eV per formula unit
Total magnetic moment   0.00 μB/cell
Energy above the lowest structure with this stoichiometry   0.400 eV/atom

(18)
A plane-wave DFT calculation with PBE-GGA was carried out for a relaxed Y3W crystal.

The structure in POSCAR format:
```
Y3W
1.0
3.299 0.000 -0.012
0.000 4.890 0.000
1.919 0.000 6.412
W Y
1 3
Cartesian
0.000 0.000 0.000 W
4.209 2.445 4.976 Y
2.609 0.000 3.200 Y
1.009 2.445 1.424 Y
```

Calculated values
ΔE_f   2.03 eV per formula unit
Total magnetic moment   0.00 μB/cell
Energy above the lowest structure with this stoichiometry   0.089 eV/atom

(19)
A plane-wave DFT calculation with PBE-GGA was carried out for a relaxed YW2 crystal.

The structure in POSCAR format:
```
YW2
1.0
6.611 0.000 0.000
0.000 6.611 0.000
0.000 0.000 6.611
Y W
4 8
Cartesian
0.000 0.000 0.000 Y
0.000 3.305 3.305 Y
3.305 0.000 3.305 Y
3.305 3.305 0.000 Y
0.690 3.995 5.921 W
0.690 5.921 2.616 W
2.616 0.690 5.921 W
2.616 2.616 2.616 W
3.995 3.995 3.995 W
3.995 5.921 0.690 W
5.921 0.690 3.995 W
5.921 2.616 0.690 W
```

Calculated values
ΔE_f   7.39 eV per formula unit
Total magnetic moment   0.00 μB/cell

(20)
A plane-wave DFT calculation with PBE-GGA was carried out for a relaxed Y2W3 crystal.

The structure in POSCAR format:
```
Y2W3
1.0
-1.643 1.643 9.683
1.643 -1.643 9.683
1.643 1.643 -9.683
Y W
2 3
Cartesian
0.000 0.000 17.333 Y
0.000 0.000 2.033 Y
0.000 0.000 13.898 W
0.000 0.000 5.468 W
0.000 0.000 9.683 W
```

Calculated values
ΔE_f   2.87 eV per formula unit
Total magnetic moment   0.00 μB/cell
Energy above the lowest structure with this stoichiometry   0.307 eV/atom

(21)
A plane-wave DFT calculation with PBE-GGA was carried out for a relaxed Y3W crystal.

The structure in POSCAR format:
```
Y3W
1.0
5.543 0.000 0.000
-2.771 5.758 -0.039
0.000 1.128 3.384
W Y
1 3
Cartesian
0.000 0.000 0.000 W
0.000 2.712 0.976 Y
2.771 0.564 1.692 Y
2.771 4.173 2.368 Y
```

Calculated values
ΔE_f   1.86 eV per formula unit
Total magnetic moment   0.03 μB/cell
Energy above the lowest structure with this stoichiometry   0.048 eV/atom

(22)
A plane-wave DFT calculation with PBE-GGA was carried out for a relaxed YW2 crystal.

The structure in POSCAR format:
```
YW2
1.0
-2.421 -3.946 -1.017
4.020 0.976 -2.312
1.540 -1.474 2.055
W Y
2 1
Cartesian
2.453 -1.220 -1.107 W
0.686 -3.224 -0.168 W
0.000 0.000 0.000 Y
```

Calculated values
ΔE_f   1.61 eV per formula unit
Total magnetic moment   0.00 μB/cell

(23)
A plane-wave DFT calculation with PBE-GGA was carried out for a relaxed Y3W crystal.

The structure in POSCAR format:
```
Y3W
1.0
3.143 0.000 0.000
-1.048 6.103 0.000
1.048 3.052 5.286
W Y
1 3
Cartesian
0.000 0.000 0.000 W
0.000 4.578 2.643 Y
1.048 3.052 0.000 Y
2.096 1.526 2.643 Y
```

Calculated values
ΔE_f   2.47 eV per formula unit
Total magnetic moment   0.00 μB/cell
Energy above the lowest structure with this stoichiometry   0.199 eV/atom

(24)
A plane-wave DFT calculation with PBE-GGA was carried out for a relaxed YW2 crystal.

The structure in POSCAR format:
```
YW2
1.0
-2.067 2.067 7.938
2.067 -2.067 7.938
2.067 2.067 -7.938
Y W
2 4
Cartesian
0.000 2.067 3.969 Y
0.000 0.000 0.000 Y
0.000 0.000 9.205 W
0.000 0.000 6.670 W
2.067 0.000 5.236 W
2.067 0.000 2.702 W
```

Calculated values
ΔE_f   2.59 eV per formula unit
Total magnetic moment   0.00 μB/cell

(25)
A plane-wave DFT calculation with PBE-GGA was carried out for a relaxed YW2 crystal.

The structure in POSCAR format:
```
YW2
1.0
-3.182 -2.942 4.088
-3.587 1.706 4.439
1.556 0.569 -5.722
Y W
1 2
Cartesian
0.000 0.000 0.000 Y
-4.683 -0.855 5.899 W
-2.086 -0.381 2.628 W
```

Calculated values
ΔE_f   1.07 eV per formula unit
Total magnetic moment   0.00 μB/cell

(26)
A plane-wave DFT calculation with PBE-GGA was carried out for a relaxed YW2 crystal.

The structure in POSCAR format:
```
YW2
1.0
-3.513 3.513 2.610
3.513 -3.513 2.610
3.513 3.513 -2.610
Y W
2 4
Cartesian
0.000 0.000 3.916 Y
0.000 0.000 1.305 Y
2.671 -0.842 2.610 W
0.842 2.671 2.610 W
2.671 0.842 0.000 W
0.842 4.354 0.000 W
```

Calculated values
ΔE_f   4.70 eV per formula unit
Total magnetic moment   0.00 μB/cell

(27)
A plane-wave DFT calculation with PBE-GGA was carried out for a relaxed Y3W crystal.

The structure in POSCAR format:
```
Y3W
1.0
-0.538 -2.610 5.300
2.328 -4.985 -2.219
5.430 1.879 1.477
Y W
6 2
Cartesian
3.297 -0.307 0.184 Y
4.461 -2.799 -0.926 Y
1.030 -3.145 0.216 Y
1.088 -0.836 3.019 Y
3.803 0.104 3.757 Y
0.760 -4.450 2.865 Y
0.000 0.000 0.000 W
3.610 -2.858 2.279 W
```

Calculated values
ΔE_f   2.62 eV per formula unit
Total magnetic moment   0.01 μB/cell
Energy above the lowest structure with this stoichiometry   0.236 eV/atom